! TaTi2Mo, PBEsol geometry, DFT meta-GGA SCAN; values from VASP
! Magnetic moment (Bohr magnetons per cell): 0.0
! Symmetry: Fm-3m (225)
! Energy of formation from the pure elements (eV per formula unit): 0.26
&SYSTEM
  ibrav = 0, nat = 4, ntyp = 3
/
ATOMIC_SPECIES
Mo 95.94 Mo.upf
Ti 47.87 Ti.upf
Ta 180.95 Ta.upf
CELL_PARAMETERS angstrom
-3.911 -0.905 -2.012
-1.383 -4.253 -0.409
-3.484 -1.471 2.422
ATOMIC_POSITIONS crystal
Mo 0.000 0.000 0.000
Ti 0.250 0.250 0.250
Ti 0.750 0.750 0.750
Ta 0.500 0.500 0.500

---

! Ag2Pb, PBEsol geometry, DFT meta-GGA SCAN; values from VASP
! Magnetic moment (Bohr magnetons per cell): 0.0
! Symmetry: C2/m (12)
! Energy of formation from the pure elements (eV per formula unit): 0.27
&SYSTEM
  ibrav = 0, nat = 6, ntyp = 2
/
ATOMIC_SPECIES
Ag 107.87 Ag.upf
Pb 207.20 Pb.upf
CELL_PARAMETERS angstrom
3.193 0.000 0.000
-1.596 5.491 0.024
0.000 -2.662 6.971
ATOMIC_POSITIONS crystal
Ag 0.645 0.290 0.023
Ag 0.043 0.085 0.250
Ag 0.957 0.915 0.750
Ag 0.355 0.710 0.977
Pb 0.663 0.327 0.631
Pb 0.337 0.673 0.369

---

! CuI, PBEsol geometry, DFT meta-GGA SCAN; values from VASP
! Magnetic moment (Bohr magnetons per cell): 0.0
! Energy relative to the elements, uncorrected (meV per atom): -65.6
! Symmetry: Cmcm (63)
&SYSTEM
  ibrav = 0, nat = 4, ntyp = 2
/
ATOMIC_SPECIES
I 126.90 I.upf
Cu 63.55 Cu.upf
CELL_PARAMETERS angstrom
4.300 0.000 0.000
0.000 4.904 0.109
0.000 0.053 4.905
ATOMIC_POSITIONS crystal
I 0.250 0.218 0.218
I 0.750 0.782 0.782
Cu 0.250 0.585 0.585
Cu 0.750 0.415 0.415

---

! CaSiAu2, PBEsol geometry, DFT meta-GGA SCAN; values from VASP
! Magnetic moment (Bohr magnetons per cell): 0.0
! Energy relative to the elements, uncorrected (meV per atom): -390.8
! Symmetry: I4/mmm (139)
&SYSTEM
  ibrav = 0, nat = 4, ntyp = 3
/
ATOMIC_SPECIES
Au 196.97 Au.upf
Ca 40.08 Ca.upf
Si 28.09 Si.upf
CELL_PARAMETERS angstrom
-4.340 1.138 1.293
1.023 -0.426 -4.623
-1.669 -3.647 -2.392
ATOMIC_POSITIONS crystal
Au 0.250 0.500 0.250
Au 0.750 0.500 0.750
Ca 0.500 0.000 0.500
Si 0.000 0.000 0.000

---

! SrBN2F, PBEsol geometry, DFT meta-GGA SCAN; values from VASP
! Magnetic moment (Bohr magnetons per cell): 0.0
! Energy relative to the elements, uncorrected (meV per atom): -827.3
! Excess energy over the best structure of this formula in the dataset (meV per atom): 0
! Symmetry: P4/mmm (123)
&SYSTEM
  ibrav = 0, nat = 5, ntyp = 4
/
ATOMIC_SPECIES
N 14.01 N.upf
Sr 87.62 Sr.upf
F 19.00 F.upf
B 10.81 B.upf
CELL_PARAMETERS angstrom
-1.473 -2.096 2.043
1.291 -2.518 -1.653
3.795 0.090 2.828
ATOMIC_POSITIONS crystal
N 0.000 0.500 0.000
N 0.500 0.000 0.000
Sr 0.500 0.500 0.500
F 0.000 0.000 0.500
B 0.000 0.000 0.000

---

! BeBAuBr2, PBEsol geometry, DFT meta-GGA SCAN; values from VASP
! Magnetic moment (Bohr magnetons per cell): 0.3
! Energy relative to the elements, uncorrected (meV per atom): 1239.1
! Symmetry: P4/mmm (123)
&SYSTEM
  ibrav = 0, nat = 5, ntyp = 4
/
ATOMIC_SPECIES
Br 79.90 Br.upf
Be 9.01 Be.upf
Au 196.97 Au.upf
B 10.81 B.upf
CELL_PARAMETERS angstrom
-2.837 3.020 1.267
-1.219 -2.953 4.308
3.867 2.464 2.783
ATOMIC_POSITIONS crystal
Br 0.000 0.500 0.000
Br 0.000 0.000 0.500
Be 0.500 0.000 0.000
Au 0.000 0.000 0.000
B 0.500 0.500 0.500

---

! MnBO3, PBEsol geometry, DFT meta-GGA SCAN; values from VASP
! Magnetic moment (Bohr magnetons per cell): 4.0
! Energy relative to the elements, uncorrected (meV per atom): -2238.0
! Symmetry: C2/c (15)
&SYSTEM
  ibrav = 0, nat = 10, ntyp = 3
/
ATOMIC_SPECIES
O 16.00 O.upf
Mn 54.94 Mn.upf
B 10.81 B.upf
CELL_PARAMETERS angstrom
-1.733 2.368 -3.477
-4.069 -1.326 -1.852
-4.026 3.396 1.343
ATOMIC_POSITIONS crystal
O 0.064 0.459 0.237
O 0.760 0.041 0.263
O 0.456 0.750 0.250
O 0.936 0.541 0.763
O 0.240 0.959 0.737
O 0.544 0.250 0.750
Mn 0.000 0.000 0.500
Mn 0.500 0.500 0.000
B 0.238 0.250 0.750
B 0.762 0.750 0.250

---

! Ta3TiN, PBEsol geometry, DFT meta-GGA SCAN; values from VASP
! Magnetic moment (Bohr magnetons per cell): 0.0
! Energy relative to the elements, uncorrected (meV per atom): -517.7
! Symmetry: Pm-3m (221)
&SYSTEM
  ibrav = 0, nat = 5, ntyp = 3
/
ATOMIC_SPECIES
N 14.01 N.upf
Ta 180.95 Ta.upf
Ti 47.87 Ti.upf
CELL_PARAMETERS angstrom
-2.736 -0.723 3.149
2.102 -3.531 1.016
2.453 2.220 2.641
ATOMIC_POSITIONS crystal
N 0.000 0.000 0.000
Ta 0.000 0.000 0.500
Ta 0.000 0.500 0.000
Ta 0.500 0.000 0.000
Ti 0.500 0.500 0.500

---

! BaNi2, PBEsol geometry, DFT meta-GGA SCAN; values from VASP
! Magnetic moment (Bohr magnetons per cell): 0.0
! Symmetry: Fm-3m (225)
! Energy of formation from the pure elements (eV per formula unit): 4.07
&SYSTEM
  ibrav = 0, nat = 3, ntyp = 2
/
ATOMIC_SPECIES
Ni 58.69 Ni.upf
Ba 137.33 Ba.upf
CELL_PARAMETERS angstrom
-2.007 -1.999 3.533
-0.575 -4.492 0.034
2.429 -2.572 2.827
ATOMIC_POSITIONS crystal
Ni 0.750 0.750 0.750
Ni 0.250 0.250 0.250
Ba 0.000 0.000 0.000

---

! Be2SiAu, PBEsol geometry, DFT meta-GGA SCAN; values from VASP
! Magnetic moment (Bohr magnetons per cell): 0.0
! Energy relative to the elements, uncorrected (meV per atom): 103.9
! Symmetry: P4/mmm (123)
&SYSTEM
  ibrav = 0, nat = 4, ntyp = 3
/
ATOMIC_SPECIES
Be 9.01 Be.upf
Au 196.97 Au.upf
Si 28.09 Si.upf
CELL_PARAMETERS angstrom
3.525 0.000 0.000
0.000 3.714 0.000
0.000 0.000 3.714
ATOMIC_POSITIONS crystal
Be 0.000 0.000 0.500
Be 0.000 0.500 0.000
Au 0.500 0.000 0.000
Si 0.500 0.500 0.500

---

! Hf2ZrSb2, PBEsol geometry, DFT meta-GGA SCAN; values from VASP
! Magnetic moment (Bohr magnetons per cell): 0.0
! Energy relative to the elements, uncorrected (meV per atom): -569.9
! Symmetry: P4/mbm (127)
&SYSTEM
  ibrav = 0, nat = 10, ntyp = 3
/
ATOMIC_SPECIES
Sb 121.76 Sb.upf
Zr 91.22 Zr.upf
Hf 178.49 Hf.upf
CELL_PARAMETERS angstrom
3.693 0.000 0.000
0.000 7.657 0.000
0.000 0.000 7.657
ATOMIC_POSITIONS crystal
Sb 0.000 0.354 0.854
Sb 0.000 0.854 0.646
Sb 0.000 0.146 0.354
Sb 0.000 0.646 0.146
Zr 0.000 0.500 0.500
Zr 0.000 0.000 0.000
Hf 0.500 0.349 0.151
Hf 0.500 0.151 0.651
Hf 0.500 0.651 0.849
Hf 0.500 0.849 0.349

---

! Zn2IrRu, PBEsol geometry, DFT meta-GGA SCAN; values from VASP
! Magnetic moment (Bohr magnetons per cell): 0.0
! Excess energy over the best structure of this formula in the dataset (meV per atom): 31
! Symmetry: Imm2 (44)
! Energy of formation from the pure elements (eV per formula unit): 0.02
&SYSTEM
  ibrav = 0, nat = 4, ntyp = 3
/
ATOMIC_SPECIES
Zn 65.41 Zn.upf
Ir 192.22 Ir.upf
Ru 101.07 Ru.upf
CELL_PARAMETERS angstrom
-1.062 1.486 -2.239
3.276 -1.308 -2.421
-3.407 -3.580 1.104
ATOMIC_POSITIONS crystal
Zn 0.749 0.249 0.498
Zn 0.002 0.002 0.003
Ir 0.501 0.501 0.001
Ru 0.248 0.748 0.497

---

! Y7O6F9, PBEsol geometry, DFT meta-GGA SCAN; values from VASP
! Magnetic moment (Bohr magnetons per cell): 0.0
! Energy relative to the elements, uncorrected (meV per atom): -4190.9
! Excess energy over the best structure of this formula in the dataset (meV per atom): 82
! Symmetry: Aem2 (39)
&SYSTEM
  ibrav = 0, nat = 44, ntyp = 3
/
ATOMIC_SPECIES
Y 88.91 Y.upf
F 19.00 F.upf
O 16.00 O.upf
CELL_PARAMETERS angstrom
-4.146 -2.539 -2.406
1.285 -4.615 2.655
-12.271 7.466 13.264
ATOMIC_POSITIONS crystal
Y 0.737 0.768 0.058
Y 0.737 0.210 0.942
Y 0.263 0.710 0.942
Y 0.266 0.418 0.339
Y 0.741 0.428 0.500
Y 0.700 0.667 0.800
Y 0.263 0.268 0.058
Y 0.734 0.918 0.339
Y 0.259 0.928 0.500
Y 0.734 0.079 0.661
Y 0.300 0.866 0.200
Y 0.266 0.579 0.661
Y 0.700 0.366 0.200
Y 0.300 0.167 0.800
F 0.866 0.046 0.500
F 0.037 0.081 0.285
F 0.046 0.166 0.156
F 0.963 0.797 0.715
F 0.097 0.808 0.398
F 0.547 0.748 0.569
F 0.954 0.011 0.844
F 0.453 0.179 0.431
F 0.903 0.308 0.398
F 0.037 0.297 0.715
F 0.097 0.910 0.602
F 0.046 0.511 0.844
F 0.954 0.666 0.156
F 0.453 0.248 0.569
F 0.134 0.546 0.500
F 0.547 0.679 0.431
F 0.903 0.410 0.602
F 0.963 0.581 0.285
O 0.477 0.662 0.285
O 0.537 0.416 0.861
O 0.523 0.377 0.715
O 0.500 0.492 0.000
O 0.537 0.055 0.139
O 0.523 0.162 0.285
O 0.477 0.877 0.715
O 0.500 0.992 0.000
O 0.000 0.480 0.000
O 0.463 0.555 0.139
O 0.463 0.916 0.861
O 0.000 0.980 0.000

---

! CuAsPt2, PBEsol geometry, DFT meta-GGA SCAN; values from VASP
! Magnetic moment (Bohr magnetons per cell): 0.0
! Symmetry: Cmmm (65)
! Energy of formation from the pure elements (eV per formula unit): -0.34
&SYSTEM
  ibrav = 0, nat = 4, ntyp = 3
/
ATOMIC_SPECIES
Cu 63.55 Cu.upf
As 74.92 As.upf
Pt 195.08 Pt.upf
CELL_PARAMETERS angstrom
2.894 0.052 0.067
-0.081 4.552 0.002
-0.081 -1.152 4.403
ATOMIC_POSITIONS crystal
Cu 0.500 0.000 0.000
As 0.500 0.500 0.500
Pt 0.000 0.500 0.000
Pt 0.000 0.000 0.500

---

! Ag2IrSe, PBEsol geometry, DFT meta-GGA SCAN; values from VASP
! Magnetic moment (Bohr magnetons per cell): 0.0
! Energy relative to the elements, uncorrected (meV per atom): 479.5
! Symmetry: P2/m (10)
&SYSTEM
  ibrav = 0, nat = 4, ntyp = 3
/
ATOMIC_SPECIES
Ir 192.22 Ir.upf
Ag 107.87 Ag.upf
Se 78.96 Se.upf
CELL_PARAMETERS angstrom
-2.529 -1.510 0.378
2.279 -3.830 -0.765
0.952 -0.393 4.806
ATOMIC_POSITIONS crystal
Ir 0.000 0.500 0.500
Ag 0.738 0.747 0.000
Ag 0.262 0.253 0.000
Se 0.500 0.000 0.500

---

! LiZn3Cd, PBEsol geometry, DFT meta-GGA SCAN; values from VASP
! Magnetic moment (Bohr magnetons per cell): 0.0
! Symmetry: Pm-3m (221)
! Energy of formation from the pure elements (eV per formula unit): 2.18
&SYSTEM
  ibrav = 0, nat = 5, ntyp = 3
/
ATOMIC_SPECIES
Cd 112.41 Cd.upf
Zn 65.41 Zn.upf
Li 6.94 Li.upf
CELL_PARAMETERS angstrom
4.939 0.000 0.000
0.000 4.939 0.000
0.000 0.000 4.939
ATOMIC_POSITIONS crystal
Cd 0.000 0.000 0.000
Zn 0.000 0.500 0.000
Zn 0.500 0.000 0.000
Zn 0.000 0.000 0.500
Li 0.500 0.500 0.500

---

! RbScPb3, PBEsol geometry, DFT meta-GGA SCAN; values from VASP
! Magnetic moment (Bohr magnetons per cell): 0.0
! Symmetry: Pm-3m (221)
! Energy of formation from the pure elements (eV per formula unit): 5.87
&SYSTEM
  ibrav = 0, nat = 5, ntyp = 3
/
ATOMIC_SPECIES
Sc 44.96 Sc.upf
Rb 85.47 Rb.upf
Pb 207.20 Pb.upf
CELL_PARAMETERS angstrom
5.785 0.000 0.000
0.000 5.785 0.000
0.000 0.000 5.785
ATOMIC_POSITIONS crystal
Sc 0.500 0.500 0.500
Rb 0.000 0.000 0.000
Pb 0.000 0.000 0.500
Pb 0.500 0.000 0.000
Pb 0.000 0.500 0.000

---

! LiYIr2, PBEsol geometry, DFT meta-GGA SCAN; values from VASP
! Magnetic moment (Bohr magnetons per cell): 0.0
! Symmetry: P4/mmm (123)
! Energy of formation from the pure elements (eV per formula unit): -1.73
&SYSTEM
  ibrav = 0, nat = 4, ntyp = 3
/
ATOMIC_SPECIES
Li 6.94 Li.upf
Ir 192.22 Ir.upf
Y 88.91 Y.upf
CELL_PARAMETERS angstrom
3.979 0.000 0.000
0.000 3.979 0.000
0.000 0.000 4.043
ATOMIC_POSITIONS crystal
Li 0.500 0.500 0.500
Ir 0.000 0.500 0.000
Ir 0.500 0.000 0.000
Y 0.000 0.000 0.500

---

! YCd2, PBEsol geometry, DFT meta-GGA SCAN; values from VASP
! Magnetic moment (Bohr magnetons per cell): 0.0
! Symmetry: I4_1/amd (141)
! Energy of formation from the pure elements (eV per formula unit): -0.97
&SYSTEM
  ibrav = 0, nat = 12, ntyp = 2
/
ATOMIC_SPECIES
Y 88.91 Y.upf
Cd 112.41 Cd.upf
CELL_PARAMETERS angstrom
4.546 0.000 0.000
0.000 4.546 0.000
-2.273 -2.273 13.537
ATOMIC_POSITIONS crystal
Y 0.919 0.919 0.838
Y 0.331 0.831 0.662
Y 0.169 0.669 0.338
Y 0.081 0.081 0.162
Cd 0.667 0.167 0.334
Cd 0.498 0.998 0.997
Cd 0.002 0.502 0.003
Cd 0.833 0.333 0.666
Cd 0.417 0.417 0.834
Cd 0.583 0.583 0.166
Cd 0.752 0.752 0.503
Cd 0.248 0.248 0.497

---

! EuIn4Au, PBEsol geometry, DFT meta-GGA SCAN; values from VASP
! Magnetic moment (Bohr magnetons per cell): 14.1
! Symmetry: Cmcm (63)
! Energy of formation from the pure elements (eV per formula unit): -3.02
&SYSTEM
  ibrav = 0, nat = 12, ntyp = 3
/
ATOMIC_SPECIES
In 114.82 In.upf
Eu 151.96 Eu.upf
Au 196.97 Au.upf
CELL_PARAMETERS angstrom
-2.781 3.550 0.705
-5.610 -3.798 -3.004
-0.610 -4.857 7.279
ATOMIC_POSITIONS crystal
In 0.000 0.500 0.000
In 0.562 0.250 0.123
In 0.178 0.046 0.356
In 0.822 0.546 0.644
In 0.822 0.954 0.644
In 0.000 0.000 0.000
In 0.438 0.750 0.877
In 0.178 0.454 0.356
Eu 0.625 0.750 0.249
Eu 0.375 0.250 0.751
Au 0.276 0.750 0.552
Au 0.724 0.250 0.448

---

! ZrTcPdPb2, PBEsol geometry, DFT meta-GGA SCAN; values from VASP
! Magnetic moment (Bohr magnetons per cell): 0.0
! Symmetry: P4/mmm (123)
! Energy of formation from the pure elements (eV per formula unit): 4.39
&SYSTEM
  ibrav = 0, nat = 5, ntyp = 4
/
ATOMIC_SPECIES
Pb 207.20 Pb.upf
Pd 106.42 Pd.upf
Tc 98.00 Tc.upf
Zr 91.22 Zr.upf
CELL_PARAMETERS angstrom
4.742 0.000 0.000
0.000 5.095 0.000
0.000 0.000 5.095
ATOMIC_POSITIONS crystal
Pb 0.000 0.500 0.000
Pb 0.000 0.000 0.500
Pd 0.500 0.000 0.000
Tc 0.000 0.000 0.000
Zr 0.500 0.500 0.500

---

! Na3TlMo, PBEsol geometry, DFT meta-GGA SCAN; values from VASP
! Magnetic moment (Bohr magnetons per cell): 5.0
! Symmetry: Pm-3m (221)
! Energy of formation from the pure elements (eV per formula unit): 4.94
&SYSTEM
  ibrav = 0, nat = 5, ntyp = 3
/
ATOMIC_SPECIES
Tl 204.38 Tl.upf
Na 22.99 Na.upf
Mo 95.94 Mo.upf
CELL_PARAMETERS angstrom
-0.025 -2.857 4.872
-1.172 -4.763 -2.799
5.525 -1.024 -0.572
ATOMIC_POSITIONS crystal
Tl 0.000 0.000 0.000
Na 0.000 0.500 0.000
Na 0.500 0.000 0.000
Na 0.000 0.000 0.500
Mo 0.500 0.500 0.500

---

! MgGa2, PBEsol geometry, DFT meta-GGA SCAN; values from VASP
! Magnetic moment (Bohr magnetons per cell): 0.0
! Symmetry: P-62m (189)
! Energy of formation from the pure elements (eV per formula unit): -0.13
&SYSTEM
  ibrav = 0, nat = 6, ntyp = 2
/
ATOMIC_SPECIES
Ga 69.72 Ga.upf
Mg 24.30 Mg.upf
CELL_PARAMETERS angstrom
-1.318 -2.037 -4.150
2.114 -4.453 1.514
-4.941 1.005 1.076
ATOMIC_POSITIONS crystal
Ga 0.000 0.672 0.000
Ga 0.000 0.000 0.672
Ga 0.500 0.000 0.000
Ga 0.000 0.328 0.328
Mg 0.500 0.667 0.333
Mg 0.500 0.333 0.667

---

! LaTlSi2, PBEsol geometry, DFT meta-GGA SCAN; values from VASP
! Magnetic moment (Bohr magnetons per cell): 0.0
! Energy relative to the elements, uncorrected (meV per atom): -58.8
! Excess energy over the best structure of this formula in the dataset (meV per atom): 0
! Symmetry: P4mm (99)
&SYSTEM
  ibrav = 0, nat = 4, ntyp = 3
/
ATOMIC_SPECIES
La 138.91 La.upf
Si 28.09 Si.upf
Tl 204.38 Tl.upf
CELL_PARAMETERS angstrom
-3.042 1.710 0.355
-1.230 -2.603 2.004
2.496 3.246 5.750
ATOMIC_POSITIONS crystal
La 0.500 0.500 0.786
Si 0.500 0.500 0.198
Si 0.000 0.000 0.063
Tl 0.000 0.000 0.453

---

! BeOsW2, PBEsol geometry, DFT meta-GGA SCAN; values from VASP
! Magnetic moment (Bohr magnetons per cell): 0.0
! Symmetry: Pm (6)
! Energy of formation from the pure elements (eV per formula unit): 0.40
&SYSTEM
  ibrav = 0, nat = 4, ntyp = 3
/
ATOMIC_SPECIES
Be 9.01 Be.upf
W 183.84 W.upf
Os 190.23 Os.upf
CELL_PARAMETERS angstrom
2.762 0.000 0.002
0.000 4.208 0.000
-0.677 0.000 4.772
ATOMIC_POSITIONS crystal
Be 0.358 0.000 0.476
W 0.794 0.500 0.290
W 0.971 0.000 0.971
Os 0.377 0.500 0.763

---

! ReTePN2, PBEsol geometry, DFT meta-GGA SCAN; values from VASP
! Magnetic moment (Bohr magnetons per cell): 1.6
! Energy relative to the elements, uncorrected (meV per atom): 711.1
! Symmetry: P4/mmm (123)
&SYSTEM
  ibrav = 0, nat = 5, ntyp = 4
/
ATOMIC_SPECIES
N 14.01 N.upf
Re 186.21 Re.upf
Te 127.60 Te.upf
P 30.97 P.upf
CELL_PARAMETERS angstrom
-2.247 0.107 3.096
-2.681 -1.983 -1.878
2.301 -4.852 1.837
ATOMIC_POSITIONS crystal
N 0.000 0.500 0.000
N 0.500 0.000 0.000
Re 0.000 0.000 0.000
Te 0.000 0.000 0.500
P 0.500 0.500 0.500